First-principles (GGA-PBE) data for a relaxed structure of Na2LiAu2, as listed in the Alexandria database.

Cell and atoms, written as extended XYZ:
```
5
Lattice="-2.082 2.082 6.894 2.082 -2.082 6.894 2.082 2.082 -6.894" Properties=species:S:1:pos:R:3 pbc="T T T"
Na 2.082 0.000 3.447
Na 0.000 2.082 3.447
Li 0.000 0.000 0.000
Au 0.000 0.000 5.544
Au 0.000 0.000 8.243
```

* E: -2.377 eV/atom
* offset from the most stable computed form: 233 meV/atom
* space-group type: No. 139
* energy relative to the elements: -0.1555 eV/atom
* spin magnetization: 0.0 μB/cell



First-principles (GGA-PBE) data for a relaxed structure of NaLi2Au2, as listed in the Alexandria database.

Cell and atoms, written as extended XYZ:
```
5
Lattice="-2.045 2.045 6.109 2.045 -2.045 6.109 2.045 2.045 -6.109" Properties=species:S:1:pos:R:3 pbc="T T T"
Na 0.000 0.000 0.000
Li 2.045 0.000 3.054
Li 0.000 2.045 3.054
Au 0.000 0.000 4.725
Au 0.000 0.000 7.493
```

* E: -2.724 eV/atom
* offset from the most stable computed form: 67 meV/atom
* space-group type: No. 139
* energy relative to the elements: -0.3841 eV/atom
* spin magnetization: 0.0 μB/cell



First-principles (GGA-PBE) data for a relaxed structure of Na2Li2Au15, as listed in the Alexandria database.

Cell and atoms, written as extended XYZ:
```
19
Lattice="4.839 2.794 4.699 -4.839 2.794 4.699 0.000 -5.587 4.699" Properties=species:S:1:pos:R:3 pbc="T T T"
Na 0.000 0.000 2.083
Na 0.000 0.000 12.015
Li 0.000 0.000 5.572
Li 0.000 0.000 8.526
Au -2.419 -1.397 4.699
Au 0.000 -2.796 4.563
Au -2.422 1.398 4.563
Au -1.510 -2.616 7.049
Au -3.021 0.000 7.049
Au -2.422 -1.398 9.534
Au -2.419 1.397 9.398
Au 1.510 -2.616 7.049
Au 0.000 2.794 4.699
Au -1.510 2.616 7.049
Au 2.422 1.398 4.563
Au 3.021 0.000 7.049
Au 1.510 2.616 7.049
Au 2.422 -1.398 9.534
Au 0.000 2.796 9.534
```

* E: -3.155 eV/atom
* space-group type: No. 166
* energy relative to the elements: -0.2269 eV/atom
* spin magnetization: 0.0 μB/cell



First-principles (GGA-PBE) data for a relaxed structure of NaLi2Au, as listed in the Alexandria database.

Cell and atoms, written as extended XYZ:
```
4
Lattice="-1.434 2.648 5.821 1.434 -2.648 5.821 1.434 2.648 -5.821" Properties=species:S:1:pos:R:3 pbc="T T T"
Na 0.000 0.000 0.000
Li 0.000 0.000 3.321
Li 0.000 0.000 8.321
Au 0.000 0.000 5.821
```

* E: -2.203 eV/atom
* offset from the most stable computed form: 211 meV/atom
* space-group type: No. 71
* energy relative to the elements: -0.0973 eV/atom
* spin magnetization: 0.0 μB/cell



First-principles (GGA-PBE) data for a relaxed structure of Na2LiAu, as listed in the Alexandria database.

Cell and atoms, written as extended XYZ:
```
8
Lattice="-4.159 4.159 2.880 4.159 -4.159 2.880 4.159 4.159 -2.880" Properties=species:S:1:pos:R:3 pbc="T T T"
Na 6.238 1.882 -0.720
Na 1.882 2.079 0.720
Na -2.079 2.277 2.160
Na 2.277 2.079 3.600
Li 4.159 0.000 1.440
Li 0.000 0.000 2.880
Au 0.000 0.000 0.000
Au 0.000 4.159 1.440
```

* E: -2.028 eV/atom
* offset from the most stable computed form: 170 meV/atom
* space-group type: No. 122
* energy relative to the elements: -0.0704 eV/atom
* spin magnetization: 0.0 μB/cell



First-principles (GGA-PBE) data for a relaxed structure of NaLiAu2, as listed in the Alexandria database.

Cell and atoms, written as extended XYZ:
```
4
Lattice="0.000 3.336 3.336 3.336 0.000 3.336 3.336 3.336 0.000" Properties=species:S:1:pos:R:3 pbc="T T T"
Na 0.000 0.000 0.000
Li 3.336 3.336 3.336
Au 1.668 1.668 1.668
Au 5.004 5.004 5.004
```

* E: -2.780 eV/atom
* offset from the most stable computed form: 63 meV/atom
* space-group type: No. 225
* energy relative to the elements: -0.3327 eV/atom
* spin magnetization: 0.0 μB/cell



First-principles (GGA-PBE) data for a relaxed structure of NaLiAu2, as listed in the Alexandria database.

Cell and atoms, written as extended XYZ:
```
4
Lattice="2.358 1.362 3.859 -2.358 1.362 3.859 0.000 -2.723 3.859" Properties=species:S:1:pos:R:3 pbc="T T T"
Na 0.000 0.000 0.000
Li 0.000 0.000 8.685
Au 0.000 0.000 2.892
Au 0.000 0.000 5.783
```

* E: -2.789 eV/atom
* offset from the most stable computed form: 53 meV/atom
* space-group type: No. 160
* energy relative to the elements: -0.3426 eV/atom
* spin magnetization: 0.0 μB/cell



First-principles (GGA-PBE) data for a relaxed structure of NaLi7Au3, as listed in the Alexandria database.

Cell and atoms, written as extended XYZ:
```
22
Lattice="1.447 -11.223 0.000 1.447 11.223 0.000 0.000 0.000 11.963" Properties=species:S:1:pos:R:3 pbc="T T T"
Na 1.447 9.034 8.972
Na 1.447 -9.034 2.991
Li 1.447 6.834 1.552
Li 1.447 6.834 4.429
Li 1.447 3.979 0.909
Li 1.447 3.979 5.072
Li 1.447 2.070 8.972
Li 1.447 0.178 1.246
Li 1.447 0.178 4.736
Li 1.447 -0.178 7.227
Li 1.447 -0.178 10.717
Li 1.447 -2.070 2.991
Li 1.447 -3.979 6.890
Li 1.447 -3.979 11.054
Li 1.447 -6.834 7.534
Li 1.447 -6.834 10.411
Au 1.447 9.236 0.392
Au 1.447 9.236 5.589
Au 1.447 6.113 8.972
Au 1.447 -6.113 2.991
Au 1.447 -9.236 6.373
Au 1.447 -9.236 11.571
```

* E: -2.559 eV/atom
* space-group type: No. 63
* energy relative to the elements: -0.3274 eV/atom
* spin magnetization: 0.0 μB/cell



First-principles (GGA-PBE) data for a relaxed structure of NaLiAu3, as listed in the Alexandria database.

Cell and atoms, written as extended XYZ:
```
5
Lattice="5.106 0.000 0.000 0.000 5.106 0.000 0.000 0.000 5.106" Properties=species:S:1:pos:R:3 pbc="T T T"
Na 0.000 0.000 0.000
Li 2.553 2.553 2.553
Au 0.000 0.000 2.553
Au 0.000 2.553 0.000
Au 2.553 0.000 0.000
```

* E: -2.151 eV/atom
* offset from the most stable computed form: 721 meV/atom
* space-group type: No. 221
* energy relative to the elements: 0.4620 eV/atom
* spin magnetization: 0.0 μB/cell



First-principles (GGA-PBE) data for a relaxed structure of NaLi6Au12, as listed in the Alexandria database.

Cell and atoms, written as extended XYZ:
```
19
Lattice="5.941 3.430 2.804 -5.941 3.430 2.804 0.000 -6.860 2.804" Properties=species:S:1:pos:R:3 pbc="T T T"
Na 0.000 0.000 0.000
Li 0.000 -2.879 3.594
Li -2.493 1.439 3.594
Li -2.493 -1.439 4.816
Li 2.493 1.439 3.594
Li 2.493 -1.439 4.816
Li 0.000 2.879 4.816
Au -2.257 -3.908 4.205
Au -4.513 0.000 4.205
Au -1.428 -0.825 2.488
Au 1.428 -0.825 2.488
Au 0.000 1.649 2.488
Au 2.257 -3.908 4.205
Au -2.257 3.908 4.205
Au 0.000 -1.649 5.923
Au -1.428 0.825 5.923
Au 1.428 0.825 5.923
Au 4.513 0.000 4.205
Au 2.257 3.908 4.205
```

* E: -3.052 eV/atom
* space-group type: No. 166
* energy relative to the elements: -0.3086 eV/atom
* spin magnetization: 0.0 μB/cell



First-principles (GGA-PBE) data for a relaxed structure of NaLiAu4, as listed in the Alexandria database.

Cell and atoms, written as extended XYZ:
```
6
Lattice="0.000 3.936 3.936 3.936 0.000 3.936 3.936 3.936 0.000" Properties=species:S:1:pos:R:3 pbc="T T T"
Na 0.000 0.000 0.000
Li 1.968 1.968 1.968
Au 4.919 2.953 2.953
Au 2.953 4.919 2.953
Au 2.953 2.953 4.919
Au 4.919 4.919 4.919
```

* E: -3.087 eV/atom
* space-group type: No. 216
* energy relative to the elements: -0.3635 eV/atom
* spin magnetization: 0.0 μB/cell



First-principles (GGA-PBE) data for a relaxed structure of Na3Li2Au2, as listed in the Alexandria database.

Cell and atoms, written as extended XYZ:
```
7
Lattice="2.010 -13.074 0.000 2.010 13.074 0.000 0.000 0.000 3.023" Properties=species:S:1:pos:R:3 pbc="T T T"
Na 0.000 0.000 0.000
Na 2.010 2.833 1.511
Na 2.010 -2.833 1.511
Li 2.010 5.779 1.511
Li 2.010 -5.779 1.511
Au 2.010 8.262 0.000
Au 2.010 -8.262 0.000
```

* E: -2.323 eV/atom
* space-group type: No. 65
* energy relative to the elements: -0.2748 eV/atom
* spin magnetization: 0.0 μB/cell